Hf2Cu2P (PBE, relaxed); space-group type = P4/mbm; crystal system = tetragonal; total magnetic moment = 0.0 μB per formula unit; calculated volume = 15.976 A^3/atom; final energy = -69.8 eV for the cell shown; DFT formation energy = -0.28 eV/atom
1.0
6.241 0.000 0.000
0.000 6.241 0.000
0.000 0.000 4.101
Hf Cu P
4 4 2
direct
0.168 0.332 0.000
0.332 0.832 0.000
0.668 0.168 0.000
0.832 0.668 0.000
0.135 0.635 0.500
0.365 0.135 0.500
0.635 0.865 0.500
0.865 0.365 0.500
0.000 0.000 0.500
0.500 0.500 0.500


CoTcAs2Br (PBE, relaxed); space-group type = P4/mmm; crystal system = tetragonal; ΔE to the lowest computed polymorph = 0 meV per atom; total magnetic moment = 2.4 μB per formula unit; calculated volume = 24.132 A^3/atom; final energy = -24.0 eV for the cell shown
1.0
4.702 0.000 0.000
0.000 4.702 0.000
0.000 0.000 5.457
Co Tc As Br
1 1 2 1
direct
0.000 0.000 0.000
0.500 0.500 0.500
0.000 0.500 0.500
0.500 0.000 0.500
0.500 0.500 0.000